Entry 1:
BRuPb3 (GGA-PBE, relaxed); raw total energy = -4.2567 eV per atom; space-group type = No. 221
1.0
5.236 0.000 0.000
0.000 5.236 0.000
0.000 0.000 5.236
B Ru Pb
1 1 3
Cartesian
0.000 0.000 0.000
2.618 2.618 2.618
0.000 2.618 2.618
2.618 0.000 2.618
2.618 2.618 0.000

***

Entry 2:
Sc2BRuPb (GGA-PBE, relaxed); raw total energy = -5.6908 eV per atom; space-group type = No. 123
1.0
4.894 0.000 0.000
0.000 4.894 0.000
0.000 0.000 5.132
Sc B Ru Pb
2 1 1 1
Cartesian
0.000 2.447 0.000
2.447 0.000 0.000
0.000 0.000 2.566
2.447 2.447 0.000
2.447 2.447 2.566

***

Computed DOS at the Fermi energy, in the same sequence as the records: 5.689, 5.194 states/eV per cell.